An optimized crystal structure of Nd3DyMg3, computed with PBE-GGA.

## Properties
Calculated total energy = -3.31 eV/atom
Formation enthalpy at 0 K = 0.08 eV/atom
DOS at the Fermi energy = 36.5 states/eV/cell
Energy above the most stable polymorph in this dataset = 10 meV per atom

```
data_Nd3DyMg3
_cell_length_a 7.4036
_cell_length_b 10.7988
_cell_length_c 10.7743
_cell_angle_alpha 90.00
_cell_angle_beta 91.30
_cell_angle_gamma 90.00
_space_group_name_H-M_alt 'C 1 2/m 1'
_space_group_IT_number 12
_space_group_name_Hall '-C 2y'
loop_
_atom_site_label
_atom_site_type_symbol
_atom_site_fract_x
_atom_site_fract_y
_atom_site_fract_z
Nd1 Nd 0.0000 0.1745 0.0000
Nd2 Nd 0.0000 0.2245 0.5000
Nd3 Nd 0.0280 0.5000 0.8281
Dy1 Dy 0.2139 0.5000 0.4917
Mg1 Mg 0.9999 0.0000 0.2603
Mg2 Mg 0.2426 0.2576 0.2514
```



An optimized crystal structure of K2YHg, computed with PBE-GGA.

## Properties
Calculated total energy = -2.18 eV/atom
Formation enthalpy at 0 K = 0.06 eV/atom
DOS at the Fermi energy = 11.9 states/eV/cell

```
data_K2YHg
_cell_length_a 4.1260
_cell_length_b 4.1260
_cell_length_c 36.2024
_cell_angle_alpha 90.00
_cell_angle_beta 90.00
_cell_angle_gamma 120.00
_space_group_name_H-M_alt 'R 3 m'
_space_group_IT_number 160
_space_group_name_Hall 'R 3 -2"'
loop_
_atom_site_label
_atom_site_type_symbol
_atom_site_fract_x
_atom_site_fract_y
_atom_site_fract_z
K1 K 0.0000 0.0000 0.0000
K2 K 0.0000 0.0000 0.2198
Y1 Y 0.0000 0.0000 0.4564
Hg1 Hg 0.0000 0.0000 0.7383
```